w) Density functional theory data (PBE) for an optimized crystal structure of HRh2I.

The space group is Fm-3m (No. 225) and the conventional cell measures 6.176, 6.176 and 6.176 Å, with angles of 90.00, 90.00 and 90.00 degrees. The inequivalent atoms are H at (0.000, 0.000, 0.000), Rh at (0.250, 0.250, 0.250) and I at (0.000, 0.000, 0.500).

The total moment is 0.00 μB/atom.

x) Density functional theory data (PBE) for an optimized crystal structure of HRh2I.

The space group is I-42d (No. 122) and the conventional cell measures 5.022, 5.022 and 9.904 Å, with angles of 90.00, 90.00 and 90.00 degrees. The inequivalent atoms are H at (0.000, 0.000, 0.000), Rh at (0.121, 0.250, 0.125) and I at (0.000, 0.000, 0.500).

The total moment is 0.00 μB/atom.

Short version: x) is the most stable of them.